Compound: SrCl2
Source: the Alexandria database
Functional: GGA-PBE
Structure: optimized geometry

Raw total energy (eV per atom): -4.18
Density (Mg/m³): 2.20

Cell and atoms, written as POSCAR:
```
SrCl2
1.0
2.238 -9.518 0.000
2.238 9.518 0.000
0.000 0.000 5.630
Sr Cl
2 4
direct
0.168 0.832 0.750
0.832 0.168 0.250
0.220 0.780 0.250
0.419 0.581 0.250
0.581 0.419 0.750
0.780 0.220 0.750
```